Computed, not measured: Nd8Tl2Ru after structural relaxation at the PBE level of DFT.

a = 5.6848 Å, b = 7.1512 Å, c = 9.3637 Å
α = 110.74°, β = 107.67°, γ = 90.00°
With the nearest neighbours (Å) after each atom.
Fractional positions:
1 Tl 0.8171 0.3089 0.6343  9 Nd 3.31-3.49
2 Tl 0.1829 0.6911 0.3657  9 Nd 3.31-3.49
3 Nd 0.1982 0.2437 0.3965  3 Tl 3.31-3.47, 7 Nd 3.45-3.70
4 Nd 0.6398 0.9087 0.2796  1 Ru 2.80
5 Nd 0.8018 0.7563 0.6035  3 Tl 3.31-3.47, 7 Nd 3.45-3.70
6 Nd 0.3602 0.0913 0.7204  1 Ru 2.80
7 Nd 0.0069 0.7682 0.0137  2 Ru 3.32, 1 Tl 3.38, 6 Nd 3.41-3.63
8 Nd 0.6030 0.4025 0.2060  1 Ru 2.78
9 Nd 0.9931 0.2318 0.9863  2 Ru 3.32, 1 Tl 3.38, 6 Nd 3.41-3.63
10 Nd 0.3970 0.5975 0.7940  1 Ru 2.78
11 Ru 0.5000 0.0000 0.0000  4 Nd 2.78-2.80

Computed properties:
- Formation enthalpy at 0 K: -0.183 eV per atom
- Symmetry: C2/m (12)

---

Computed, not measured: Nd5TlRu2 after structural relaxation at the PBE level of DFT.

a = 7.9848 Å, b = 7.9848 Å, c = 9.0260 Å
α = 116.25°, β = 116.25°, γ = 90.00°
With the nearest neighbours (Å) after each atom.
Fractional positions:
1 Tl 0.7500 0.7500 0.5000  10 Nd 3.43-3.52
2 Tl 0.2500 0.2500 0.5000  10 Nd 3.43-3.52
3 Ru 0.8582 0.6418 0.0000  8 Nd 2.90-3.08, 1 Ru 3.20
4 Ru 0.1418 0.3582 0.0000  8 Nd 2.90-3.08, 1 Ru 3.20
5 Ru 0.3582 0.8582 0.0000  8 Nd 2.90-3.08, 1 Ru 3.20
6 Ru 0.6418 0.1418 0.0000  8 Nd 2.90-3.08, 1 Ru 3.20
7 Nd 0.7083 0.2083 0.7373  3 Ru 2.90-3.04
8 Nd 0.5290 0.7083 0.7373  3 Ru 2.90-3.04
9 Nd 0.5000 0.5000 0.0000  4 Ru 3.08
10 Nd 0.0290 0.5290 0.7373  3 Ru 2.90-3.04
11 Nd 0.2083 0.0290 0.7373  3 Ru 2.90-3.04
12 Nd 0.0000 0.0000 0.0000  4 Ru 3.08
13 Nd 0.9710 0.4710 0.2627  3 Ru 2.90-3.04
14 Nd 0.7917 0.9710 0.2627  3 Ru 2.90-3.04
15 Nd 0.2917 0.7917 0.2627  3 Ru 2.90-3.04
16 Nd 0.4710 0.2917 0.2627  3 Ru 2.90-3.04

Computed properties:
- Formation enthalpy at 0 K: -0.276 eV per atom
- Symmetry: I4/mcm (140)

---

Computed, not measured: NdTmTlRu after structural relaxation at the PBE level of DFT.

a = 5.1379 Å, b = 5.1379 Å, c = 5.1379 Å
α = 60.00°, β = 60.00°, γ = 60.00°
With the nearest neighbours (Å) after each atom.
Fractional positions:
1 Tl 0.2500 0.2500 0.2500  4 Nd 3.15, 4 Tm 3.15
2 Tm 0.5000 0.5000 0.5000  4 Tl 3.15, 4 Ru 3.15
3 Ru 0.7500 0.7500 0.7500  4 Tm 3.15, 4 Nd 3.15
4 Nd 0.0000 0.0000 0.0000  4 Ru 3.15, 4 Tl 3.15

Computed properties:
- Formation enthalpy at 0 K: -0.196 eV per atom
- Symmetry: F-43m (216)

---

Computed, not measured: NdYTlRu after structural relaxation at the PBE level of DFT.

a = 5.1746 Å, b = 5.1746 Å, c = 5.1746 Å
α = 60.00°, β = 60.00°, γ = 60.00°
With the nearest neighbours (Å) after each atom.
Fractional positions:
1 Y 0.5000 0.5000 0.5000  4 Ru 3.17, 4 Tl 3.17
2 Tl 0.7500 0.7500 0.7500  4 Y 3.17, 4 Nd 3.17
3 Ru 0.2500 0.2500 0.2500  4 Nd 3.17, 4 Y 3.17
4 Nd 0.0000 0.0000 0.0000  4 Tl 3.17, 4 Ru 3.17

Computed properties:
- Formation enthalpy at 0 K: -0.195 eV per atom
- Symmetry: F-43m (216)

---

Computed, not measured: Nd2TmRu after structural relaxation at the PBE level of DFT.

a = 3.5864 Å, b = 3.5864 Å, c = 10.8839 Å
α = 80.52°, β = 80.52°, γ = 60.00°
With the nearest neighbours (Å) after each atom.
Fractional positions:
1 Ru 0.5000 0.5000 0.5000  6 Nd 2.84
2 Nd 0.1058 0.1058 0.6825  3 Ru 2.84
3 Nd 0.8942 0.8942 0.3175  3 Ru 2.84
4 Tm 0.0000 0.0000 0.0000  2 Nd 3.39, 6 Tm 3.59

Computed properties:
- Formation enthalpy at 0 K: 0.218 eV per atom
- Symmetry: R-3m (166)
- Energy above the most stable polymorph in this dataset: 1.810 eV/f.u.

---

Computed, not measured: Nd2TmRu after structural relaxation at the PBE level of DFT.

a = 6.3670 Å, b = 7.3601 Å, c = 9.5972 Å
α = 90.00°, β = 90.00°, γ = 90.00°
With the nearest neighbours (Å) after each atom.
Fractional positions:
1 Nd 0.6706 0.8224 0.9350  2 Ru 2.92-2.99
2 Nd 0.1706 0.6776 0.0650  2 Ru 2.92-2.99
3 Nd 0.6706 0.8224 0.5650  2 Ru 2.92-2.99
4 Nd 0.8294 0.3224 0.9350  2 Ru 2.92-2.99
5 Nd 0.3294 0.1776 0.0650  2 Ru 2.92-2.99
6 Nd 0.3294 0.1776 0.4350  2 Ru 2.92-2.99
7 Nd 0.1706 0.6776 0.4350  2 Ru 2.92-2.99
8 Nd 0.8294 0.3224 0.5650  2 Ru 2.92-2.99
9 Tm 0.6454 0.5443 0.2500  2 Ru 2.75-2.76
10 Tm 0.8546 0.0443 0.2500  2 Ru 2.75-2.76
11 Tm 0.3546 0.4557 0.7500  2 Ru 2.75-2.76
12 Tm 0.1454 0.9557 0.7500  2 Ru 2.75-2.76
13 Ru 0.9637 0.6159 0.7500  2 Tm 2.75-2.76, 4 Nd 2.92-2.99
14 Ru 0.5363 0.1159 0.7500  2 Tm 2.75-2.76, 4 Nd 2.92-2.99
15 Ru 0.0363 0.3841 0.2500  2 Tm 2.75-2.76, 4 Nd 2.92-2.99
16 Ru 0.4637 0.8841 0.2500  2 Tm 2.75-2.76, 4 Nd 2.92-2.99

Computed properties:
- Formation enthalpy at 0 K: -0.235 eV per atom
- Symmetry: Pnma (62)
- Energy above the most stable polymorph in this dataset: 0.000 eV/f.u.

---

Computed, not measured: NdTm5Ru4 after structural relaxation at the PBE level of DFT.

a = 3.3734 Å, b = 3.3734 Å, c = 19.0642 Å
α = 90.00°, β = 90.00°, γ = 90.00°
With the nearest neighbours (Å) after each atom.
Fractional positions:
1 Tm 0.5000 0.5000 0.8485  4 Ru 2.84
2 Tm 0.5000 0.5000 0.6747  8 Ru 2.90-2.97
3 Tm 0.5000 0.5000 0.1515  4 Ru 2.84
4 Tm 0.5000 0.5000 0.5000  8 Ru 2.92
5 Tm 0.5000 0.5000 0.3253  8 Ru 2.90-2.97
6 Ru 0.0000 0.0000 0.4118  8 Tm 2.90-2.92
7 Ru 0.0000 0.0000 0.5882  8 Tm 2.90-2.92
8 Ru 0.0000 0.0000 0.2321  8 Tm 2.84-2.97
9 Ru 0.0000 0.0000 0.7679  8 Tm 2.84-2.97
10 Nd 0.0000 0.0000 0.0000  4 Nd 3.37, 8 Tm 3.75

Computed properties:
- Formation enthalpy at 0 K: -0.368 eV per atom
- Symmetry: P4/mmm (123)

---

Computed, not measured: Nd3TmRu after structural relaxation at the PBE level of DFT.

a = 7.4762 Å, b = 7.4762 Å, c = 7.4762 Å
α = 101.10°, β = 119.36°, γ = 108.49°
With the nearest neighbours (Å) after each atom.
Fractional positions:
1 Nd 0.5326 0.7418 0.7110  1 Ru 2.75
2 Nd 0.0308 0.8216 0.2890  1 Ru 2.75
3 Nd 0.0308 0.2418 0.7092  1 Ru 2.75
4 Nd 0.5326 0.3216 0.2908  1 Ru 2.75
5 Nd 0.0511 0.7828 0.7683  2 Ru 2.79-2.80
6 Nd 0.0145 0.2828 0.2317  2 Ru 2.79-2.80
7 Ru 0.0292 0.5317 0.9975  2 Tm 2.74-2.75, 4 Nd 2.75-2.80
8 Ru 0.5342 0.0317 0.0025  2 Tm 2.74-2.75, 4 Nd 2.75-2.80
9 Tm 0.5600 0.2805 0.7795  2 Ru 2.74-2.75
10 Tm 0.5010 0.7805 0.2205  2 Ru 2.74-2.75

Computed properties:
- Formation enthalpy at 0 K: -0.124 eV per atom
- Symmetry: Ima2 (46)
- Energy above the most stable polymorph in this dataset: 0.000 eV/f.u.

---

Computed, not measured: NdTm3Ru3 after structural relaxation at the PBE level of DFT.

a = 5.8437 Å, b = 5.7741 Å, c = 5.8437 Å
α = 109.23°, β = 109.71°, γ = 109.23°
With the nearest neighbours (Å) after each atom.
Fractional positions:
1 Tm 0.0000 0.0029 0.4166  4 Ru 2.78-3.07
2 Tm 0.4166 0.0029 0.0000  4 Ru 2.78-3.07
3 Tm 0.5834 0.5863 0.5834  4 Ru 2.78-3.07
4 Ru 0.5015 0.5062 0.0000  4 Tm 2.78-3.07, 1 Nd 2.80
5 Ru 0.4985 0.0048 0.4985  4 Tm 2.78-3.07, 1 Nd 2.80
6 Ru 0.0000 0.5062 0.5015  4 Tm 2.78-3.07, 1 Nd 2.80
7 Nd 0.0000 0.4158 0.0000  6 Ru 2.80-3.12

Computed properties:
- Formation enthalpy at 0 K: -0.358 eV per atom
- Symmetry: R3m (160)

---

Computed, not measured: NdTm4Ru5 after structural relaxation at the PBE level of DFT.

a = 3.3856 Å, b = 3.3856 Å, c = 16.9166 Å
α = 90.00°, β = 90.00°, γ = 90.00°
With the nearest neighbours (Å) after each atom.
Fractional positions:
1 Ru 0.5000 0.5000 0.3034  8 Tm 2.91
2 Ru 0.5000 0.5000 0.6966  8 Tm 2.91
3 Ru 0.5000 0.5000 0.5000  8 Tm 2.92
4 Ru 0.5000 0.5000 0.8934  4 Tm 2.92, 4 Nd 3.00
5 Ru 0.5000 0.5000 0.1066  4 Tm 2.92, 4 Nd 3.00
6 Tm 0.0000 0.0000 0.7949  8 Ru 2.91-2.92
7 Tm 0.0000 0.0000 0.5985  8 Ru 2.91-2.92
8 Tm 0.0000 0.0000 0.4015  8 Ru 2.91-2.92
9 Tm 0.0000 0.0000 0.2051  8 Ru 2.91-2.92
10 Nd 0.0000 0.0000 0.0000  8 Ru 3.00

Computed properties:
- Formation enthalpy at 0 K: -0.341 eV per atom
- Symmetry: P4/mmm (123)

---

Computed, not measured: Nd3TmRu8 after structural relaxation at the PBE level of DFT.

a = 5.3855 Å, b = 5.3855 Å, c = 9.3900 Å
α = 73.34°, β = 73.34°, γ = 60.00°
With the nearest neighbours (Å) after each atom.
Fractional positions:
1 Nd 0.4988 0.4988 0.5035  12 Ru 3.13-3.18, 3 Tm 3.31, 1 Nd 3.32
2 Nd 0.9989 0.9989 0.0033  12 Ru 3.18-3.22, 3 Nd 3.30, 1 Tm 3.31
3 Nd 0.3738 0.3738 0.8787  12 Ru 3.14-3.21, 4 Nd 3.30-3.32
4 Ru 0.1909 0.1909 0.4274  6 Ru 2.62-2.74
5 Ru 0.4403 0.4403 0.1934  6 Ru 2.62-2.79
6 Ru 0.9403 0.4357 0.6838  6 Ru 2.67-2.74
7 Ru 0.9403 0.9403 0.6838  6 Ru 2.67-2.74
8 Ru 0.6904 0.6904 0.9288  6 Ru 2.68-2.79
9 Ru 0.4357 0.9403 0.6838  6 Ru 2.67-2.74
10 Ru 0.9260 0.4403 0.1934  6 Ru 2.62-2.79
11 Ru 0.4403 0.9260 0.1934  6 Ru 2.62-2.79
12 Tm 0.8744 0.8744 0.3768  12 Ru 3.14-3.15, 4 Nd 3.31

Computed properties:
- Formation enthalpy at 0 K: -0.182 eV per atom
- Symmetry: R3m (160)

---

Computed, not measured: NdTmRu2 after structural relaxation at the PBE level of DFT.

a = 3.4287 Å, b = 3.4287 Å, c = 6.8773 Å
α = 90.00°, β = 90.00°, γ = 90.00°
With the nearest neighbours (Å) after each atom.
Fractional positions:
1 Nd 0.5000 0.5000 0.5000  8 Ru 3.01
2 Ru 0.0000 0.0000 0.2397  4 Tm 2.93, 4 Nd 3.01
3 Ru 0.0000 0.0000 0.7603  4 Tm 2.93, 4 Nd 3.01
4 Tm 0.5000 0.5000 0.0000  8 Ru 2.93

Computed properties:
- Formation enthalpy at 0 K: -0.229 eV per atom
- Symmetry: P4/mmm (123)